Entry 1:
A plane-wave DFT calculation with PBE-GGA was carried out for a geometry-optimized Be5Au structure.

Geometry as extended XYZ:
```
12
Lattice="3.677 0.000 0.000 0.000 2.641 0.000 0.000 0.000 12.497" Properties=species:S:1:pos:R:3 pbc="T T T"
Be 0.000 0.000 0.000
Be 0.000 0.000 3.634
Be 0.000 0.000 8.099
Be 0.000 1.320 1.850
Be 0.000 1.320 6.249
Be 0.000 1.320 9.882
Be 1.839 0.000 1.364
Be 1.839 0.000 9.442
Be 1.839 1.320 3.193
Be 1.839 1.320 7.613
Au 1.839 0.000 5.306
Au 1.839 1.320 11.554
```

Calculated values
E_form ... 0.064 eV/atom
E_tot ... -3.587 eV/atom



Entry 2:
A plane-wave DFT calculation with PBE-GGA was carried out for a geometry-optimized Cs3HoBr6 structure.

Geometry as extended XYZ:
```
20
Lattice="8.455 0.000 0.000 0.000 8.927 0.000 -8.327 0.000 12.069" Properties=species:S:1:pos:R:3 pbc="T T T"
Cs 0.000 0.000 0.000
Cs -4.163 4.464 6.035
Cs -4.345 0.612 9.011
Cs -0.182 3.852 2.976
Cs 0.310 5.076 9.093
Cs 4.474 8.315 3.059
Ho 0.064 0.000 6.035
Ho 4.227 4.464 0.000
Br -2.206 1.539 5.453
Br -6.369 2.924 11.487
Br -1.314 6.599 5.242
Br -5.477 6.792 11.277
Br 0.977 0.388 3.413
Br -3.187 4.076 9.447
Br 3.315 4.851 2.622
Br -0.848 8.539 8.657
Br 5.606 2.136 0.793
Br 1.442 2.328 6.827
Br 6.497 6.003 0.582
Br 2.334 7.388 6.617
```

Calculated values
E_tot ... -3.591 eV/atom
ΔE_f (raw) ... -1.8735 eV/atom